Below is an optimized crystal structure of CsMgSi3, with properties calculated at the PBE level.

magnetization = 0.0 μB/f.u.
formation energy (no corrections) = 0.89 eV per atom
D(E_F) = 2.96 states/eV/f.u.

Geometry as POSCAR:
```
CsMgSi3
1.0
5.210 0.000 0.000
0.000 5.210 0.000
0.000 0.000 5.210
Cs Mg Si
1 1 3
Direct
0.000 0.000 0.000 Cs
0.500 0.500 0.500 Mg
0.000 0.500 0.500 Si
0.500 0.000 0.500 Si
0.500 0.500 0.000 Si
```

Below is an optimized crystal structure of CsMg14Si, with properties calculated at the PBE level.

magnetization = 0.0 μB/f.u.
formation energy (no corrections) = 0.17 eV per atom
D(E_F) = 8.49 states/eV/f.u.

Geometry as POSCAR:
```
CsMg14Si
1.0
10.849 0.000 0.000
0.000 3.244 5.648
0.000 -3.244 5.648
Cs Mg Si
1 14 1
Direct
0.000 0.000 0.000 Cs
0.000 0.507 0.961 Mg
0.000 0.961 0.507 Mg
0.226 0.602 0.602 Mg
0.256 0.109 0.603 Mg
0.256 0.603 0.109 Mg
0.283 0.113 0.113 Mg
0.500 0.437 0.437 Mg
0.500 0.454 0.925 Mg
0.500 0.925 0.454 Mg
0.500 0.935 0.935 Mg
0.717 0.113 0.113 Mg
0.744 0.109 0.603 Mg
0.744 0.603 0.109 Mg
0.774 0.602 0.602 Mg
0.000 0.412 0.412 Si
```

Below is an optimized crystal structure of Cs3MgSi, with properties calculated at the PBE level.

magnetization = 1.1 μB/f.u.
formation energy (no corrections) = 0.47 eV per atom
D(E_F) = 2.16 states/eV/f.u.

Geometry as POSCAR:
```
Cs3MgSi
1.0
7.214 0.000 0.000
0.000 7.214 0.000
0.000 0.000 7.214
Cs Mg Si
3 1 1
Direct
0.000 0.000 0.500 Cs
0.000 0.500 0.000 Cs
0.500 0.000 0.000 Cs
0.500 0.500 0.500 Mg
0.000 0.000 0.000 Si
```

Below is an optimized crystal structure of CsMg3Si, with properties calculated at the PBE level.

magnetization = 0.0 μB/f.u.
formation energy (no corrections) = 0.38 eV per atom
D(E_F) = 4.09 states/eV/f.u.

Geometry as POSCAR:
```
CsMg3Si
1.0
5.484 0.000 0.000
0.000 5.484 0.000
0.000 0.000 5.484
Cs Mg Si
1 3 1
Direct
0.000 0.000 0.000 Cs
0.000 0.500 0.500 Mg
0.500 0.000 0.500 Mg
0.500 0.500 0.000 Mg
0.500 0.500 0.500 Si
```